[1]
# TlPPb2 PBE-GGA relaxed
data_TlPPb2
_symmetry_space_group_name_H-M 'P 4/m m m'
_symmetry_Int_Tables_number 123
_symmetry_space_group_name_Hall '-P 4 2'
_cell_length_a 3.701
_cell_length_b 3.701
_cell_length_c 8.094
_cell_angle_alpha 90.00
_cell_angle_beta 90.00
_cell_angle_gamma 90.00
loop_
_atom_site_label
_atom_site_type_symbol
_atom_site_fract_x
_atom_site_fract_y
_atom_site_fract_z
_atom_site_occupancy
Tl1 Tl 0.000 0.000 0.000 1
P1 P 0.000 0.000 0.500 1
Pb1 Pb 0.500 0.500 0.302 1
# Magnetic moment   0.00 μB per formula unit
# E above lowest polymorph   69 meV/atom
# Formation energy from the elements   146.0 meV/atom
# Crystal system   tetragonal

=====

[2]
# TlPPb2 PBE-GGA relaxed
data_TlPPb2
_symmetry_space_group_name_H-M 'P 4/m m m'
_symmetry_Int_Tables_number 123
_symmetry_space_group_name_Hall '-P 4 2'
_cell_length_a 4.993
_cell_length_b 4.993
_cell_length_c 4.393
_cell_angle_alpha 90.00
_cell_angle_beta 90.00
_cell_angle_gamma 90.00
loop_
_atom_site_label
_atom_site_type_symbol
_atom_site_fract_x
_atom_site_fract_y
_atom_site_fract_z
_atom_site_occupancy
Tl1 Tl 0.000 0.000 0.000 1
P1 P 0.500 0.500 0.000 1
Pb1 Pb 0.000 0.500 0.500 1
# Magnetic moment   0.00 μB per formula unit
# E above lowest polymorph   150 meV/atom
# Formation energy from the elements   226.5 meV/atom
# Crystal system   tetragonal

=====

[3]
# TlP2Pb PBE-GGA relaxed
data_TlP2Pb
_symmetry_space_group_name_H-M 'F -4 3 m'
_symmetry_Int_Tables_number 216
_symmetry_space_group_name_Hall 'F -4 2 3'
_cell_length_a 7.159
_cell_length_b 7.159
_cell_length_c 7.159
_cell_angle_alpha 90.00
_cell_angle_beta 90.00
_cell_angle_gamma 90.00
loop_
_atom_site_label
_atom_site_type_symbol
_atom_site_fract_x
_atom_site_fract_y
_atom_site_fract_z
_atom_site_occupancy
Tl1 Tl 0.000 0.000 0.000 1
P1 P 0.000 0.000 0.500 1
P2 P 0.250 0.250 0.250 1
Pb1 Pb 0.250 0.250 0.750 1
# Magnetic moment   0.00 μB per formula unit
# E above lowest polymorph   542 meV/atom
# Formation energy from the elements   625.2 meV/atom
# Crystal system   cubic

=====

[4]
# TlP2Pb PBE-GGA relaxed
data_TlP2Pb
_symmetry_space_group_name_H-M 'C 1 2/m 1'
_symmetry_Int_Tables_number 12
_symmetry_space_group_name_Hall '-C 2y'
_cell_length_a 6.538
_cell_length_b 7.481
_cell_length_c 3.803
_cell_angle_alpha 90.00
_cell_angle_beta 90.60
_cell_angle_gamma 90.00
loop_
_atom_site_label
_atom_site_type_symbol
_atom_site_fract_x
_atom_site_fract_y
_atom_site_fract_z
_atom_site_occupancy
Tl1 Tl 0.000 0.000 0.000 1
P1 P 0.250 0.250 0.500 1
Pb1 Pb 0.000 0.500 0.000 1
# Magnetic moment   0.00 μB per formula unit
# E above lowest polymorph   417 meV/atom
# Formation energy from the elements   499.9 meV/atom
# Crystal system   monoclinic

=====

[5]
# Tl2PPb PBE-GGA relaxed
data_Tl2PPb
_symmetry_space_group_name_H-M 'F m -3 m'
_symmetry_Int_Tables_number 225
_symmetry_space_group_name_Hall '-F 4 2 3'
_cell_length_a 7.579
_cell_length_b 7.579
_cell_length_c 7.579
_cell_angle_alpha 90.00
_cell_angle_beta 90.00
_cell_angle_gamma 90.00
loop_
_atom_site_label
_atom_site_type_symbol
_atom_site_fract_x
_atom_site_fract_y
_atom_site_fract_z
_atom_site_occupancy
Tl1 Tl 0.250 0.250 0.250 1
P1 P 0.000 0.000 0.000 1
Pb1 Pb 0.000 0.000 0.500 1
# Magnetic moment   0.00 μB per formula unit
# E above lowest polymorph   271 meV/atom
# Formation energy from the elements   354.8 meV/atom
# Crystal system   cubic

=====

[6]
# TlPPb2 PBE-GGA relaxed
data_TlPPb2
_symmetry_space_group_name_H-M 'I m m m'
_symmetry_Int_Tables_number 71
_symmetry_space_group_name_Hall '-I 2 2'
_cell_length_a 3.885
_cell_length_b 5.749
_cell_length_c 10.287
_cell_angle_alpha 90.00
_cell_angle_beta 90.00
_cell_angle_gamma 90.00
loop_
_atom_site_label
_atom_site_type_symbol
_atom_site_fract_x
_atom_site_fract_y
_atom_site_fract_z
_atom_site_occupancy
Tl1 Tl 0.000 0.000 0.000 1
P1 P 0.000 0.000 0.500 1
Pb1 Pb 0.000 0.500 0.200 1
# Magnetic moment   0.00 μB per formula unit
# E above lowest polymorph   59 meV/atom
# Formation energy from the elements   135.8 meV/atom
# Crystal system   orthorhombic